(1)
Below is a geometry-optimized PrPuMgCd structure, with properties calculated at the PBE level. Values from VASP.

```
&SYSTEM
  ibrav = 0, nat = 4, ntyp = 4
/
ATOMIC_SPECIES
Pr 140.91 Pr.upf
Pu 244.00 Pu.upf
Mg 24.30 Mg.upf
Cd 112.41 Cd.upf
CELL_PARAMETERS angstrom
0.000 3.849 3.849
3.849 0.000 3.849
3.849 3.849 0.000
ATOMIC_POSITIONS crystal
Pr 0.000 0.000 0.000
Pu 0.500 0.500 0.500
Mg 0.250 0.250 0.250
Cd 0.750 0.750 0.750
```

Output
Energy = -5.40 eV per atom

=====

(2)
Below is a geometry-optimized ZnIn2Ga structure, with properties calculated at the PBE level. Values from VASP.

```
&SYSTEM
  ibrav = 0, nat = 4, ntyp = 3
/
ATOMIC_SPECIES
Zn 65.41 Zn.upf
In 114.82 In.upf
Ga 69.72 Ga.upf
CELL_PARAMETERS angstrom
3.565 0.000 0.000
0.000 3.565 0.000
0.000 0.000 7.076
ATOMIC_POSITIONS crystal
Zn 0.000 0.000 0.000
In 0.500 0.500 0.239
In 0.500 0.500 0.761
Ga 0.000 0.000 0.500
```

Output
Energy = -2.37 eV per atom

=====

For each record above, in turn, the calculated energy relative to the elements values are 0.003, 0.075 eV per atom.
For each record above, in turn, the calculated magnetic moment values are 1.60, 0.00 μB per atom.